Density functional theory data (PBE) for a relaxed structure of TcPPt2.

Values from the calculation:
DOS(E_F) in states/eV/f.u.: 4.1
Total energy in eV per atom: -6.92
Formation enthalpy at 0 K in eV/atom: 0.05

Cell lengths 2.816, 2.816, 7.555 Å; angles 90.00, 90.00, 90.00 degrees
Space group P4/mmm (No. 123)
One atom of each set of equivalent atoms:
Tc 0.000 0.000 0.000 x1
P 0.000 0.000 0.500 x1
Pt 0.500 0.500 0.252 x2

***

Density functional theory data (PBE) for a relaxed structure of Tc4PPt.

Values from the calculation:
DOS(E_F) in states/eV/f.u.: 6.6
Total energy in eV per atom: -8.19
Formation enthalpy at 0 K in eV/atom: 0.63

Cell lengths 7.224, 7.224, 7.224 Å; angles 90.00, 90.00, 90.00 degrees
Space group F-43m (No. 216)
One atom of each set of equivalent atoms:
Tc 0.124 0.124 0.376 x16
P 0.000 0.000 0.000 x4
Pt 0.250 0.250 0.750 x4

***

Density functional theory data (PBE) for a relaxed structure of Tc2PPt.

Values from the calculation:
DOS(E_F) in states/eV/f.u.: 6.4
Total energy in eV per atom: -7.52
Formation enthalpy at 0 K in eV/atom: 0.53

Cell lengths 5.521, 5.521, 10.602 Å; angles 90.00, 90.00, 90.00 degrees
Space group I-42d (No. 122)
One atom of each set of equivalent atoms:
Tc 0.225 0.250 0.125 x8
P 0.000 0.000 0.000 x4
Pt 0.000 0.000 0.500 x4

***

Density functional theory data (PBE) for a relaxed structure of Tc2PPt.

Values from the calculation:
DOS(E_F) in states/eV/f.u.: 4.3
Total energy in eV per atom: -8.21
Formation enthalpy at 0 K in eV/atom: -0.17

Cell lengths 2.895, 3.843, 5.325 Å; angles 90.00, 104.40, 90.00 degrees
Space group P2/m (No. 10)
One atom of each set of equivalent atoms:
Tc 0.135 0.000 0.273 x2
P 0.500 0.500 0.500 x1
Pt 0.500 0.500 0.000 x1

***

Density functional theory data (PBE) for a relaxed structure of TcPPt3.

Values from the calculation:
DOS(E_F) in states/eV/f.u.: 2.9
Total energy in eV per atom: -6.28
Formation enthalpy at 0 K in eV/atom: 0.50
Energy above the lowest structure with this stoichiometry in eV per atom: 0.0000

Cell lengths 4.507, 4.507, 4.507 Å; angles 90.00, 90.00, 90.00 degrees
Space group Pm-3m (No. 221)
One atom of each set of equivalent atoms:
Tc 0.000 0.000 0.000 x1
P 0.500 0.500 0.500 x1
Pt 0.000 0.500 0.500 x3

***

Density functional theory data (PBE) for a relaxed structure of TcPPt2.

Values from the calculation:
DOS(E_F) in states/eV/f.u.: 4.4
Total energy in eV per atom: -7.11
Formation enthalpy at 0 K in eV/atom: -0.15

Cell lengths 2.907, 2.907, 6.883 Å; angles 90.00, 90.00, 90.00 degrees
Space group P4mm (No. 99)
One atom of each set of equivalent atoms:
Tc 0.000 0.000 0.000 x1
P 0.500 0.500 0.192 x1
Pt 0.000 0.000 0.423 x1
Pt 0.500 0.500 0.725 x1

***

Density functional theory data (PBE) for a relaxed structure of TcP3Pt.

Values from the calculation:
DOS(E_F) in states/eV/f.u.: 3.2
Total energy in eV per atom: -5.80
Formation enthalpy at 0 K in eV/atom: 0.72
Energy above the lowest structure with this stoichiometry in eV per atom: 0.0000

Cell lengths 4.547, 4.547, 4.547 Å; angles 90.00, 90.00, 90.00 degrees
Space group Pm-3m (No. 221)
One atom of each set of equivalent atoms:
Tc 0.000 0.000 0.000 x1
P 0.000 0.000 0.500 x3
Pt 0.500 0.500 0.500 x1

***

Density functional theory data (PBE) for a relaxed structure of TcPPt2.

Values from the calculation:
DOS(E_F) in states/eV/f.u.: 3.8
Total energy in eV per atom: -6.80
Formation enthalpy at 0 K in eV/atom: 0.16

Cell lengths 3.788, 3.788, 8.271 Å; angles 90.00, 90.00, 90.00 degrees
Space group I4/mmm (No. 139)
One atom of each set of equivalent atoms:
Tc 0.000 0.000 0.000 x2
P 0.000 0.000 0.500 x2
Pt 0.000 0.500 0.250 x4

***

Density functional theory data (PBE) for a relaxed structure of Tc3PPt.

Values from the calculation:
DOS(E_F) in states/eV/f.u.: 5.2
Total energy in eV per atom: -8.01
Formation enthalpy at 0 K in eV/atom: 0.50
Energy above the lowest structure with this stoichiometry in eV per atom: 0.0000

Cell lengths 4.329, 4.329, 4.329 Å; angles 90.00, 90.00, 90.00 degrees
Space group Pm-3m (No. 221)
One atom of each set of equivalent atoms:
Tc 0.000 0.000 0.500 x3
P 0.000 0.000 0.000 x1
Pt 0.500 0.500 0.500 x1

***

Density functional theory data (PBE) for a relaxed structure of Te2PPt.

Values from the calculation:
Formation energy without anion corrections in meV/atom: -44
DOS(E_F) in states/eV/f.u.: 2.7
Total energy in eV per atom: -4.48

Cell lengths 3.5478, 3.5478, 27.2125 Å; angles 90.00, 90.00, 120.00 degrees
Space group R3m (No. 160, hexagonal axes)
One atom of each set of equivalent atoms:
Te 0.0000 0.0000 0.0000 x3
Te 0.0000 0.0000 0.1938 x3
P 0.0000 0.0000 0.7456 x3
Pt 0.0000 0.0000 0.4579 x3

***

Density functional theory data (PBE) for a relaxed structure of Te2PPt.

Values from the calculation:
Formation energy without anion corrections in meV/atom: 446
DOS(E_F) in states/eV/f.u.: 5.1
Total energy in eV per atom: -3.99

Cell lengths 3.765, 3.790, 8.121 Å; angles 90.00, 90.00, 90.00 degrees
Space group Pmmm (No. 47)
One atom of each set of equivalent atoms:
Te 0.000 0.000 0.000 x1
Te 0.000 0.500 0.500 x1
P 0.500 0.000 0.500 x1
Pt 0.500 0.500 0.000 x1

***

Density functional theory data (PBE) for a relaxed structure of Te2PPt.

Values from the calculation:
Formation energy without anion corrections in meV/atom: 139
DOS(E_F) in states/eV/f.u.: 2.1
Total energy in eV per atom: -4.29

Cell lengths 2.966, 3.897, 7.943 Å; angles 90.00, 90.07, 90.00 degrees
Space group P2/m (No. 10)
One atom of each set of equivalent atoms:
Te 0.001 0.000 0.264 x2
P 0.000 0.500 0.000 x1
Pt 0.000 0.500 0.500 x1

***

> total energy of number 2 (Tc4PPt)?

-8.19 eV per atom